# 1
Entry from the Alexandria database: a relaxed structure of AcPd3Pb2 (PBE).

Calculated values
ΔE to the lowest computed polymorph ... 31.1 meV/atom
ΔE_f ... -0.438 eV/atom

Geometry as POSCAR:
```
AcPd3Pb2
1.0
6.224 0.000 0.000
0.000 6.808 0.738
0.000 -0.644 6.817
Pd Pb Ac
6 4 2
direct
0.250 0.953 0.953
0.250 0.905 0.556
0.750 0.444 0.095
0.750 0.095 0.444
0.750 0.047 0.047
0.250 0.556 0.905
0.000 0.248 0.752
0.500 0.248 0.752
0.000 0.752 0.248
0.500 0.752 0.248
0.750 0.741 0.741
0.250 0.259 0.259
```

# 2
Entry from the Alexandria database: a relaxed structure of Ac4Pd2Pb (PBE).

Calculated values
ΔE_f ... -0.576 eV/atom

Geometry as POSCAR:
```
Ac4Pd2Pb
1.0
9.262 -2.104 -0.206
-2.766 9.086 0.207
-3.135 -3.593 6.023
Ac Pd Pb
8 4 2
direct
0.993 0.268 0.418
0.779 0.148 0.776
0.851 0.574 0.582
0.254 0.121 0.724
0.398 0.529 0.276
0.518 0.743 0.918
0.824 0.601 0.082
0.371 0.004 0.224
0.795 0.872 0.411
0.462 0.385 0.590
0.122 0.545 0.911
0.635 0.212 0.091
0.999 0.999 0.998
0.249 0.749 0.498
```

# 3
Entry from the Alexandria database: a relaxed structure of AcPdPb2 (PBE).

Calculated values
ΔE to the lowest computed polymorph ... 271.0 meV/atom
ΔE_f ... -0.264 eV/atom

Geometry as POSCAR:
```
AcPdPb2
1.0
3.688 0.000 0.000
0.000 3.688 0.000
0.000 0.000 8.066
Pd Ac Pb
1 1 2
direct
0.500 0.500 0.000
0.500 0.500 0.500
0.000 0.000 0.197
0.000 0.000 0.803
```

# 4
Entry from the Alexandria database: a relaxed structure of AcPdPb2 (PBE).

Calculated values
ΔE to the lowest computed polymorph ... 172.8 meV/atom
ΔE_f ... -0.362 eV/atom

Geometry as POSCAR:
```
AcPdPb2
1.0
-0.313 4.745 -1.911
-4.207 0.547 2.046
2.098 1.694 3.861
Ac Pb Pd
1 2 1
direct
0.500 0.500 0.500
0.000 0.500 0.000
0.000 0.000 0.500
0.500 0.000 0.000
```

# 5
Entry from the Alexandria database: a relaxed structure of Ac7Pd2Pb2 (PBE).

Calculated values
ΔE_f ... -0.354 eV/atom

Geometry as POSCAR:
```
Ac7Pd2Pb2
1.0
-0.952 6.731 -3.413
-7.562 -0.414 1.296
1.204 1.203 7.414
Ac Pb Pd
7 2 2
direct
0.000 0.741 0.500
0.500 0.741 0.000
0.000 0.259 0.500
0.500 0.235 0.500
0.500 0.259 0.000
0.500 0.765 0.500
0.000 0.000 0.000
0.824 0.500 0.824
0.176 0.500 0.176
0.718 0.000 0.282
0.282 0.000 0.718
```

# 6
Entry from the Alexandria database: a relaxed structure of Ac2PdPb (PBE).

Calculated values
ΔE_f ... -0.325 eV/atom

Geometry as POSCAR:
```
Ac2PdPb
1.0
-3.230 -4.182 0.483
7.417 -5.885 -1.350
0.689 3.475 5.547
Pb Pd Ac
2 2 4
direct
0.498 0.250 0.000
0.502 0.750 0.000
0.003 0.750 0.000
0.997 0.250 0.000
0.173 0.587 0.347
0.174 0.087 0.347
0.827 0.413 0.653
0.826 0.913 0.653
```

# 7
Entry from the Alexandria database: a relaxed structure of AcPd2Pb2 (PBE).

Calculated values
ΔE to the lowest computed polymorph ... 173.1 meV/atom
ΔE_f ... -0.380 eV/atom

Geometry as POSCAR:
```
AcPd2Pb2
1.0
6.083 -0.727 0.000
-2.747 5.475 0.000
-1.667 -2.373 8.577
Pd Pb Ac
4 4 2
direct
0.826 0.674 0.250
0.174 0.326 0.750
0.423 0.077 0.250
0.577 0.923 0.750
0.739 0.989 0.479
0.489 0.239 0.979
0.261 0.011 0.521
0.511 0.761 0.021
0.876 0.624 0.750
0.124 0.376 0.250
```

# 8
Entry from the Alexandria database: a relaxed structure of AcPd6Pb2 (PBE).

Calculated values
ΔE_f ... -0.381 eV/atom

Geometry as POSCAR:
```
AcPd6Pb2
1.0
-1.128 -4.463 -3.359
4.740 0.059 3.163
-3.607 -3.202 5.465
Pd Pb Ac
6 2 1
direct
0.500 0.500 0.812
0.000 0.500 0.188
0.500 0.000 0.812
0.500 0.000 0.188
0.500 0.500 0.188
0.000 0.500 0.812
0.333 0.667 0.500
0.667 0.333 0.500
0.000 0.000 0.000
```

# 9
Entry from the Alexandria database: a relaxed structure of AcPd2Pb5 (PBE).

Calculated values
ΔE_f ... -0.275 eV/atom

Geometry as POSCAR:
```
AcPd2Pb5
1.0
-4.103 0.542 -2.024
-5.224 -2.322 4.725
-3.090 6.188 2.677
Pb Pd Ac
5 2 1
direct
0.658 0.532 0.152
0.658 0.152 0.532
0.342 0.848 0.468
0.000 0.500 0.500
0.342 0.468 0.848
0.282 0.218 0.218
0.718 0.782 0.782
0.000 0.000 0.000
```

# 10
Entry from the Alexandria database: a relaxed structure of Ac2Pd3Pb6 (PBE).

Calculated values
ΔE_f ... -0.388 eV/atom

Geometry as POSCAR:
```
Ac2Pd3Pb6
1.0
-0.266 -0.010 -4.843
2.836 -8.139 -0.138
-8.456 1.610 0.461
Ac Pd Pb
2 3 6
direct
0.000 0.667 0.333
0.000 0.333 0.667
0.500 0.646 0.000
0.500 0.354 0.354
0.500 0.000 0.646
0.500 0.000 0.331
0.000 0.000 0.790
0.000 0.210 0.210
0.500 0.331 0.000
0.000 0.790 0.000
0.500 0.669 0.669
```

# 11
Entry from the Alexandria database: a relaxed structure of AcPmPdPb (PBE).

Calculated values
ΔE_f ... -0.542 eV/atom

Geometry as POSCAR:
```
AcPmPdPb
1.0
5.510 0.000 0.000
2.755 4.772 0.000
2.755 1.591 4.499
Pb Pd Pm Ac
1 1 1 1
direct
0.500 0.500 0.500
0.000 0.000 0.000
0.250 0.250 0.250
0.750 0.750 0.750
```

# 12
Entry from the Alexandria database: a relaxed structure of AcPmPd5Pb2 (PBE).

Calculated values
ΔE_f ... -0.493 eV/atom

Geometry as POSCAR:
```
AcPmPd5Pb2
1.0
-2.534 -2.311 -2.771
-1.052 -2.765 3.269
-8.164 6.008 2.455
Pd Pm Ac Pb
5 1 1 2
direct
0.500 0.000 0.297
0.000 0.500 0.297
0.500 0.000 0.703
0.000 0.500 0.703
0.500 0.500 0.500
0.000 0.000 0.000
0.000 0.000 0.500
0.500 0.500 0.856
0.500 0.500 0.144
```

# 13
Entry from the Alexandria database: a relaxed structure of Ac2PrPd6Pb3 (PBE).

Calculated values
ΔE_f ... -0.570 eV/atom

Geometry as POSCAR:
```
Ac2PrPd6Pb3
1.0
-0.628 3.099 -2.989
1.034 -2.823 -3.145
-15.126 -4.213 -1.193
Pb Ac Pd Pr
3 2 6 1
direct
0.000 0.000 0.000
0.000 0.000 0.599
0.000 0.000 0.401
0.500 0.500 0.851
0.500 0.500 0.149
0.500 0.000 0.293
0.000 0.500 0.707
0.000 0.000 0.175
0.000 0.500 0.293
0.500 0.000 0.707
0.000 0.000 0.825
0.500 0.500 0.500
```

# 14
Entry from the Alexandria database: a relaxed structure of AcPrPdPb (PBE).

Calculated values
ΔE_f ... -0.542 eV/atom

Geometry as POSCAR:
```
AcPrPdPb
1.0
-1.893 -1.880 -4.861
-2.473 -4.955 -0.284
-5.460 -0.325 -0.911
Ac Pr Pd Pb
1 1 1 1
direct
0.250 0.250 0.250
0.750 0.750 0.750
0.000 0.000 0.000
0.500 0.500 0.500
```

# 15
Entry from the Alexandria database: a relaxed structure of AcPrPd5Pb2 (PBE).

Calculated values
ΔE_f ... -0.506 eV/atom

Geometry as POSCAR:
```
AcPrPd5Pb2
1.0
4.443 0.000 0.000
0.000 4.443 0.000
0.000 0.000 10.363
Pd Pr Pb Ac
5 1 2 1
direct
0.500 0.000 0.298
0.000 0.500 0.298
0.500 0.000 0.702
0.500 0.500 0.500
0.000 0.500 0.702
0.000 0.000 0.000
0.500 0.500 0.854
0.500 0.500 0.146
0.000 0.000 0.500
```

# 16
Entry from the Alexandria database: a relaxed structure of AcPd2PtPb2 (PBE).

Calculated values
ΔE_f ... -0.093 eV/atom

Geometry as POSCAR:
```
AcPd2PtPb2
1.0
5.355 0.000 0.000
0.000 5.355 0.000
-2.677 -2.677 5.789
Pb Ac Pd Pt
2 1 2 1
direct
0.250 0.750 0.500
0.750 0.250 0.500
0.500 0.500 0.000
0.229 0.229 0.457
0.771 0.771 0.543
0.000 0.000 0.000
```

# 17
Entry from the Alexandria database: a relaxed structure of Ac2PuPd6Pb3 (PBE).

Calculated values
ΔE_f ... -0.339 eV/atom

Geometry as POSCAR:
```
Ac2PuPd6Pb3
1.0
4.111 0.000 0.000
0.000 4.111 0.000
0.000 0.000 19.119
Pd Ac Pb Pu
6 2 3 1
direct
0.000 0.000 0.154
0.000 0.000 0.846
0.500 0.000 0.606
0.000 0.500 0.606
0.500 0.000 0.394
0.000 0.500 0.394
0.500 0.500 0.885
0.500 0.500 0.115
0.000 0.000 0.705
0.000 0.000 0.000
0.000 0.000 0.295
0.500 0.500 0.500
```

# 18
Entry from the Alexandria database: a relaxed structure of AcPdRhPb (PBE).

Calculated values
ΔE to the lowest computed polymorph ... 0.0 meV/atom
ΔE_f ... -0.543 eV/atom

Geometry as POSCAR:
```
AcPdRhPb
1.0
-3.502 -2.336 -2.161
4.134 -2.167 0.823
-3.284 0.661 4.607
Pd Ac Rh Pb
1 1 1 1
direct
0.829 0.658 0.128
0.618 0.237 0.496
0.410 0.819 0.872
0.110 0.219 0.971
```

# 19
Entry from the Alexandria database: a relaxed structure of AcPdRhPb (PBE).

Calculated values
ΔE to the lowest computed polymorph ... 113.0 meV/atom
ΔE_f ... -0.430 eV/atom

Geometry as POSCAR:
```
AcPdRhPb
1.0
-1.318 1.059 -4.779
-3.962 -2.349 -2.117
-4.265 2.572 -0.942
Pd Ac Rh Pb
1 1 1 1
direct
0.000 0.000 0.000
0.750 0.750 0.750
0.500 0.500 0.500
0.250 0.250 0.250
```

# 20
Entry from the Alexandria database: a relaxed structure of Ac2PdRhPb (PBE).

Calculated values
ΔE_f ... -0.642 eV/atom

Geometry as POSCAR:
```
Ac2PdRhPb
1.0
4.329 0.000 0.000
0.000 8.541 0.229
0.000 -3.275 7.477
Rh Ac Pd Pb
2 4 2 2
direct
0.250 0.881 0.892
0.750 0.119 0.108
0.250 0.271 0.953
0.250 0.122 0.365
0.750 0.878 0.635
0.750 0.729 0.047
0.750 0.290 0.683
0.250 0.710 0.317
0.750 0.464 0.334
0.250 0.536 0.666
```